No. 1
Here is crystalline TmLuAl at its relaxed geometry from the Alexandria database. Energies are from PBE.

ΔH_f (0 K)	-0.4	eV per formula unit
V	75.0	Å³/cell
crystal system	trigonal
final energy	-4.393	eV per atom
E above lowest polymorph	34	kJ/mol of formula units
DOS(E_F)	2.3	states/eV/f.u.

The structure in POSCAR format:
```
TmLuAl
1.0
-0.016 2.965 1.808
-2.773 2.152 -3.554
-2.212 -2.341 3.818
Tm Lu Al
1 1 1
Cartesian
-2.405 0.287 2.050
-0.016 2.792 1.703
-2.597 2.661 0.127
```

***

No. 2
Here is crystalline Tm2LuAl at its relaxed geometry from the Alexandria database. Energies are from PBE.

ΔH_f (0 K)	-0.8	eV per formula unit
V	105.9	Å³/cell
crystal system	tetragonal
final energy	-4.494	eV per atom
E above lowest polymorph	3	kJ/mol of formula units
DOS(E_F)	3.9	states/eV/f.u.

The structure in POSCAR format:
```
Tm2LuAl
1.0
-2.181 -2.655 0.338
1.911 -1.240 2.595
-4.820 4.696 5.794
Lu Al Tm
1 1 2
Cartesian
-2.545 0.401 4.363
-0.135 -1.948 1.466
-1.045 1.018 1.256
-3.775 3.678 4.538
```

***

No. 3
Here is crystalline Tm2LuAl at its relaxed geometry from the Alexandria database. Energies are from PBE.

ΔH_f (0 K)	-0.8	eV per formula unit
V	102.4	Å³/cell
crystal system	tetragonal
final energy	-4.501	eV per atom
E above lowest polymorph	0	kJ/mol of formula units
DOS(E_F)	3.5	states/eV/f.u.

The structure in POSCAR format:
```
Tm2LuAl
1.0
4.668 0.000 0.000
0.000 4.683 0.000
0.000 0.000 4.683
Tm Al Lu
2 1 1
Cartesian
0.000 2.341 0.000
0.000 0.000 2.341
2.334 0.000 0.000
2.334 2.341 2.341
```

***

No. 4
Here is crystalline TmLuAlV at its relaxed geometry from the Alexandria database. Energies are from PBE.

ΔH_f (0 K)	-0.2	eV per formula unit
V	88.2	Å³/cell
crystal system	cubic
final energy	-5.522	eV per atom
DOS(E_F)	2.7	states/eV/f.u.

The structure in POSCAR format:
```
TmLuAlV
1.0
4.997 0.000 0.000
2.499 4.328 0.000
2.499 1.443 4.080
V Al Tm Lu
1 1 1 1
Cartesian
7.496 4.328 3.060
2.499 1.443 1.020
4.997 2.885 2.040
0.000 0.000 0.000
```

***

No. 5
Here is crystalline TmLuAlZn at its relaxed geometry from the Alexandria database. Energies are from PBE.

ΔH_f (0 K)	-1.5	eV per formula unit
V	87.7	Å³/cell
crystal system	cubic
final energy	-3.870	eV per atom
DOS(E_F)	3.1	states/eV/f.u.

The structure in POSCAR format:
```
TmLuAlZn
1.0
4.988 0.000 0.000
2.494 4.319 0.000
2.494 1.440 4.072
Al Lu Tm Zn
1 1 1 1
Cartesian
4.988 2.880 2.036
2.494 1.440 1.018
7.481 4.319 3.054
0.000 0.000 0.000
```

***

No. 6
Here is crystalline LuUAl4 at its relaxed geometry from the Alexandria database. Energies are from PBE.

ΔH_f (0 K)	-1.4	eV per formula unit
V	118.0	Å³/cell
crystal system	cubic
final energy	-5.357	eV per atom
DOS(E_F)	8.4	states/eV/f.u.

The structure in POSCAR format:
```
LuUAl4
1.0
5.506 0.000 0.000
2.753 4.768 0.000
2.753 1.589 4.495
Al Lu U
4 1 1
Cartesian
4.124 3.977 2.812
5.506 1.583 2.812
6.888 3.977 2.812
5.506 3.179 0.555
2.753 1.589 1.124
0.000 0.000 0.000
```